1.
A plane-wave DFT calculation with PBE was carried out for an optimized crystal structure of TbCe2Tm.

Structure (POSCAR):
```
TbCe2Tm
1.0
8.546 2.409 0.604
3.051 5.554 1.285
1.490 1.512 6.194
Ce Tb Tm
4 2 2
Cartesian
8.763 4.458 6.715 Ce
10.089 7.820 7.489 Ce
4.324 5.018 1.369 Ce
2.998 1.655 0.594 Ce
5.018 1.961 3.399 Tb
2.271 3.533 3.740 Tb
5.167 5.431 4.619 Tm
7.920 4.045 3.464 Tm
```

Values from the calculation:
Relative energy among the computed polymorphs in eV/atom: 0.085
Formation enthalpy at 0 K in eV/atom: 0.171
Space group: C2/c, No. 15

2.
A plane-wave DFT calculation with PBE was carried out for an optimized crystal structure of Nd2GeSe.

Structure (POSCAR):
```
Nd2GeSe
1.0
4.274 0.000 0.000
2.137 3.702 0.000
2.137 1.234 7.038
Se Nd Ge
1 2 1
Cartesian
4.274 2.468 3.519 Se
6.412 3.702 5.342 Nd
2.137 1.234 1.696 Nd
0.000 0.000 0.000 Ge
```

Values from the calculation:
Relative energy among the computed polymorphs in eV/atom: 0.022
Space group: R-3m, No. 166

3.
A plane-wave DFT calculation with PBE was carried out for an optimized crystal structure of ReC.

Structure (POSCAR):
```
ReC
1.0
-4.488 -6.253 -0.730
4.091 -3.671 6.295
-4.755 2.857 4.757
C Re
16 16
Cartesian
-0.676 -0.858 8.260 C
1.101 -3.152 2.994 C
-2.431 -8.045 5.209 C
-0.343 -0.451 2.734 C
-3.520 -4.850 5.007 C
-1.631 -2.217 5.314 C
-2.565 -3.490 7.953 C
-3.188 -4.443 -0.519 C
-0.542 -5.413 5.516 C
-1.299 -1.810 -0.211 C
-4.965 -2.149 4.747 C
-5.921 -3.508 1.802 C
-2.232 -3.083 2.427 C
-1.497 -6.773 2.571 C
-6.854 -4.781 4.440 C
-3.322 0.113 2.225 C
2.689 -2.413 4.138 Re
-2.130 -6.151 4.372 Re
-1.734 0.851 3.369 Re
-6.553 -2.887 3.603 Re
-0.976 -2.752 9.097 Re
-1.932 -4.111 6.151 Re
1.402 -1.258 2.157 Re
-5.266 -4.042 5.584 Re
-0.842 -7.307 6.353 Re
-1.600 -3.704 0.625 Re
-0.644 -2.345 3.571 Re
-1.932 -1.189 1.590 Re
-3.220 -2.956 4.170 Re
1.203 -6.220 4.939 Re
1.070 -1.665 7.683 Re
-2.264 -1.596 7.116 Re
```

Values from the calculation:
Relative energy among the computed polymorphs in eV/atom: 0.533
Formation enthalpy at 0 K in eV/atom: 0.773
Space group: Fddd, No. 70

4.
A plane-wave DFT calculation with PBE was carried out for an optimized crystal structure of Ca6Ir2Au.

Structure (POSCAR):
```
Ca6Ir2Au
1.0
8.052 -0.171 -3.148
-4.264 7.192 -2.206
-0.288 0.171 8.641
Ca Au Ir
12 2 4
Cartesian
2.464 1.991 -0.535 Ca
4.103 5.030 -2.853 Ca
3.081 5.365 0.595 Ca
-0.604 2.162 6.139 Ca
-0.326 4.789 0.461 Ca
3.825 2.403 2.826 Ca
0.418 1.827 2.692 Ca
5.270 0.066 0.783 Ca
5.375 1.656 -2.647 Ca
1.036 5.201 3.822 Ca
-1.771 7.126 2.503 Ca
-1.875 5.536 5.933 Ca
-2.276 3.682 3.218 Au
0.000 0.000 0.000 Au
2.160 2.785 5.181 Ir
5.384 0.000 3.808 Ir
2.380 0.000 1.684 Ir
1.340 4.407 -1.894 Ir
```

Values from the calculation:
Formation enthalpy at 0 K in eV/atom: -0.416
Space group: Immm, No. 71

5.
A plane-wave DFT calculation with PBE was carried out for an optimized crystal structure of Ca2PuHfSb4.

Structure (POSCAR):
```
Ca2PuHfSb4
1.0
4.345 0.000 0.000
0.000 7.533 0.145
0.000 -2.620 7.266
Sb Ca Hf Pu
4 2 1 1
Cartesian
0.000 -0.182 5.616 Sb
2.172 3.767 5.736 Sb
2.172 1.146 1.675 Sb
0.000 5.095 1.795 Sb
0.000 2.457 3.706 Ca
2.172 -1.310 3.633 Ca
0.000 0.000 0.000 Hf
2.172 3.766 0.072 Pu
```

Values from the calculation:
DFT total energy in eV per atom: -6.31
Space group: P2/m, No. 10

6.
A plane-wave DFT calculation with PBE was carried out for an optimized crystal structure of HfPRhS2.

Structure (POSCAR):
```
HfPRhS2
1.0
4.835 0.000 0.000
0.000 4.835 0.000
0.000 0.000 5.017
S Hf Rh P
2 1 1 1
Cartesian
2.417 0.000 0.000 S
0.000 2.417 0.000 S
0.000 0.000 0.000 Hf
2.417 2.417 2.508 Rh
0.000 0.000 2.508 P
```

Values from the calculation:
Relative energy among the computed polymorphs in eV/atom: 0.146
Space group: P4/mmm, No. 123

7.
A plane-wave DFT calculation with PBE was carried out for an optimized crystal structure of HgC2.

Structure (POSCAR):
```
HgC2
1.0
1.431 -8.342 0.832
1.770 -8.133 -1.747
6.637 -1.601 0.742
Hg C
2 4
Cartesian
4.060 -12.757 -0.500 Hg
5.778 -5.319 0.328 Hg
4.861 -16.871 -0.728 C
3.261 -8.634 -0.271 C
6.577 -9.442 0.099 C
4.977 -1.205 0.556 C
```

Values from the calculation:
Relative energy among the computed polymorphs in eV/atom: 0.202
Formation enthalpy at 0 K in eV/atom: 0.740
Space group: C2/m, No. 12

8.
A plane-wave DFT calculation with PBE was carried out for an optimized crystal structure of Sc3GeOs.

Structure (POSCAR):
```
Sc3GeOs
1.0
4.975 0.000 0.000
0.000 4.975 0.000
0.000 0.000 4.975
Sc Ge Os
3 1 1
Cartesian
0.000 2.488 0.000 Sc
2.488 0.000 0.000 Sc
0.000 0.000 2.488 Sc
2.488 2.488 2.488 Ge
0.000 0.000 0.000 Os
```

Values from the calculation:
Formation enthalpy at 0 K in eV/atom: 0.030
Space group: Pm-3m, No. 221

9.
A plane-wave DFT calculation with PBE was carried out for an optimized crystal structure of GeAu3I.

Structure (POSCAR):
```
GeAu3I
1.0
5.337 0.000 0.000
0.000 5.337 0.000
0.000 0.000 5.337
Au Ge I
3 1 1
Cartesian
2.669 0.000 0.000 Au
0.000 0.000 2.669 Au
0.000 2.669 0.000 Au
2.669 2.669 2.669 Ge
0.000 0.000 0.000 I
```

Values from the calculation:
Relative energy among the computed polymorphs in eV/atom: 0.638
Space group: Pm-3m, No. 221

10.
A plane-wave DFT calculation with PBE was carried out for an optimized crystal structure of Cu5W.

Structure (POSCAR):
```
Cu5W
1.0
-2.694 -0.531 -3.797
-0.152 -3.174 3.444
-3.010 2.137 1.836
W Cu
1 5
Cartesian
0.000 0.000 0.000 W
-1.000 -2.293 1.030 Cu
-1.847 -1.412 -1.384 Cu
-2.852 0.803 -0.980 Cu
-1.581 -0.519 2.640 Cu
-2.928 -0.785 0.741 Cu
```

Values from the calculation:
Relative energy among the computed polymorphs in eV/atom: 0.373
Formation enthalpy at 0 K in eV/atom: 0.504
Space group: P6/mmm, No. 191